# 1
PBE-GGA CaZr2Re, relaxed; VASP energy = -7.546 eV/atom
1.0
1.704 -2.547 0.000
1.704 2.547 0.000
0.000 0.000 10.246
Ca Zr Re
1 2 1
direct
0.000 0.000 0.000
0.000 0.000 0.434
0.500 0.500 0.694
0.500 0.500 0.234

# 2
PBE-GGA Ca2ZrRe, relaxed; VASP energy = -5.829 eV/atom
1.0
1.738 1.004 10.454
-1.738 1.004 10.454
0.000 -2.007 10.454
Ca Zr Re
2 1 1
direct
0.000 0.000 0.000
0.226 0.226 0.226
0.462 0.462 0.462
0.740 0.740 0.740

# 3
PBE-GGA CaZrRe2, relaxed; VASP energy = -8.389 eV/atom
1.0
0.000 3.319 3.319
3.319 0.000 3.319
3.319 3.319 0.000
Ca Zr Re
1 1 2
direct
0.000 0.000 0.000
0.750 0.750 0.750
0.250 0.250 0.250
0.500 0.500 0.500

# 4
PBE-GGA CaZrRe2, relaxed; VASP energy = -8.302 eV/atom
1.0
-1.630 2.404 4.706
1.630 -2.404 4.706
1.630 2.404 -4.706
Ca Zr Re
1 1 2
direct
0.000 0.000 0.000
0.500 0.500 0.000
0.259 0.759 0.500
0.741 0.241 0.500

no.,formation energy (eV per formula unit),polymorph energy (0 for the lowest one) (kJ/mol of formula units)
1,1.4,116
2,1.7,86
3,1.9,106
4,2.2,140